# 1
Compound: Rb2NaEuCl6
Source: the Alexandria database
Functional: SCAN
Structure: single point on PBEsol structure

Geometry as CIF:
```
data_Rb2NaEuCl6
_chemical_formula_sum 'Rb8 Na4 Eu4 Cl24'
_cell_length_a 10.6704
_cell_length_b 10.6704
_cell_length_c 10.6704
_cell_angle_alpha 90.00
_cell_angle_beta 90.00
_cell_angle_gamma 90.00
_space_group_name_H-M_alt 'F m -3 m'
_space_group_IT_number 225
_space_group_name_Hall '-F 4 2 3'
loop_
_atom_site_label
_atom_site_type_symbol
_atom_site_fract_x
_atom_site_fract_y
_atom_site_fract_z
Rb1 Rb 0.2500 0.2500 0.2500
Na1 Na 0.0000 0.0000 0.0000
Eu1 Eu 0.0000 0.0000 0.5000
Cl1 Cl 0.0000 0.0000 0.2513
```

## Properties
Formation energy without anion corrections in meV/atom: -2130
E_tot in eV/atom: -16.86
Size of the total moment in μB/cell: 24.00

# 2
Compound: FeHgSb2
Source: the Alexandria database
Functional: SCAN
Structure: single point on PBEsol structure

Geometry as CIF:
```
data_FeHgSb2
_chemical_formula_sum 'Fe2 Hg2 Sb4'
_cell_length_a 4.1225
_cell_length_b 4.1225
_cell_length_c 10.1600
_cell_angle_alpha 90.00
_cell_angle_beta 90.00
_cell_angle_gamma 90.00
_space_group_name_H-M_alt 'I -4 m 2'
_space_group_IT_number 119
_space_group_name_Hall 'I -4 -2'
loop_
_atom_site_label
_atom_site_type_symbol
_atom_site_fract_x
_atom_site_fract_y
_atom_site_fract_z
Fe1 Fe 0.0000 0.0000 0.0000
Hg1 Hg 0.0000 0.5000 0.2500
Sb1 Sb 0.0000 0.0000 0.5000
Sb2 Sb 0.0000 0.5000 0.7500
```

## Properties
Formation energy without anion corrections in meV/atom: 508
E_tot in eV/atom: -39.70
Size of the total moment in μB/cell: 6.30

# 3
Compound: BeRe2Si
Source: the Alexandria database
Functional: SCAN
Structure: single point on PBEsol structure

Geometry as CIF:
```
data_BeRe2Si
_chemical_formula_sum 'Be2 Re4 Si2'
_cell_length_a 7.9086
_cell_length_b 2.7709
_cell_length_c 4.7907
_cell_angle_alpha 90.00
_cell_angle_beta 101.38
_cell_angle_gamma 90.00
_space_group_name_H-M_alt 'C 1 2/m 1'
_space_group_IT_number 12
loop_
_space_group_symop_operation_xyz
'x,y,z'
'-x,-y,-z'
'-x,y,-z'
'x,-y,z'
'x+1/2,y+1/2,z'
'-x+1/2,-y+1/2,-z'
'-x+1/2,y+1/2,-z'
'x+1/2,-y+1/2,z'
loop_
_atom_site_label
_atom_site_type_symbol
_atom_site_fract_x
_atom_site_fract_y
_atom_site_fract_z
Be1 Be 0.0000 0.0000 0.0000
Re1 Re 0.2495 0.0000 0.7615
Si1 Si 0.0000 0.5000 0.5000
```

## Properties
Formation energy without anion corrections in meV/atom: 48
E_tot in eV/atom: -39.09
Size of the total moment in μB/cell: 0.00

# 4
Compound: KZn2Co
Source: the Alexandria database
Functional: SCAN
Structure: single point on PBEsol structure

Geometry as CIF:
```
data_KZn2Co
_chemical_formula_sum 'K2 Zn4 Co2'
_cell_length_a 2.6925
_cell_length_b 5.3889
_cell_length_c 10.4337
_cell_angle_alpha 90.00
_cell_angle_beta 90.00
_cell_angle_gamma 90.00
_space_group_name_H-M_alt 'I m m m'
_space_group_IT_number 71
_space_group_name_Hall '-I 2 2'
loop_
_atom_site_label
_atom_site_type_symbol
_atom_site_fract_x
_atom_site_fract_y
_atom_site_fract_z
K1 K 0.0000 0.0000 0.0000
Zn1 Zn 0.0000 0.5000 0.1918
Co1 Co 0.0000 0.0000 0.5000
```

## Properties
E_form in eV/atom: 0.506
E_tot in eV/atom: -12.66
Size of the total moment in μB/cell: 2.76

# 5
Compound: KZrInSe2
Source: the Alexandria database
Functional: SCAN
Structure: single point on PBEsol structure

Geometry as CIF:
```
data_KZrInSe2
_chemical_formula_sum 'K1 Zr1 In1 Se2'
_cell_length_a 5.3443
_cell_length_b 5.3443
_cell_length_c 5.4161
_cell_angle_alpha 90.00
_cell_angle_beta 90.00
_cell_angle_gamma 90.00
_space_group_name_H-M_alt 'P 4/m m m'
_space_group_IT_number 123
_space_group_name_Hall '-P 4 2'
loop_
_atom_site_label
_atom_site_type_symbol
_atom_site_fract_x
_atom_site_fract_y
_atom_site_fract_z
K1 K 0.0000 0.0000 0.0000
Zr1 Zr 0.5000 0.5000 0.0000
In1 In 0.0000 0.0000 0.5000
Se1 Se 0.0000 0.5000 0.5000
```

## Properties
Formation energy without anion corrections in meV/atom: 525
E_tot in eV/atom: -21.99
Size of the total moment in μB/cell: 2.67

# 6
Compound: LaCoAg2
Source: the Alexandria database
Functional: SCAN
Structure: single point on PBEsol structure

Geometry as CIF:
```
data_LaCoAg2
_chemical_formula_sum 'La2 Co2 Ag4'
_cell_length_a 3.3550
_cell_length_b 4.3416
_cell_length_c 10.0068
_cell_angle_alpha 90.00
_cell_angle_beta 90.00
_cell_angle_gamma 90.00
_space_group_name_H-M_alt 'I m m m'
_space_group_IT_number 71
_space_group_name_Hall '-I 2 2'
loop_
_atom_site_label
_atom_site_type_symbol
_atom_site_fract_x
_atom_site_fract_y
_atom_site_fract_z
La1 La 0.0000 0.0000 0.0000
Co1 Co 0.0000 0.0000 0.5000
Ag1 Ag 0.0000 0.5000 0.2215
```

## Properties
E_form in eV/atom: 0.103
E_tot in eV/atom: -30.68
Size of the total moment in μB/cell: 0.85

# 7
Compound: Li2BrCl
Source: the Alexandria database
Functional: SCAN
Structure: single point on PBEsol structure

Geometry as CIF:
```
data_Li2BrCl
_chemical_formula_sum 'Li6 Br3 Cl3'
_cell_length_a 3.7066
_cell_length_b 3.7066
_cell_length_c 18.1414
_cell_angle_alpha 90.00
_cell_angle_beta 90.00
_cell_angle_gamma 120.00
_space_group_name_H-M_alt 'R -3 m'
_space_group_IT_number 166
_space_group_name_Hall '-R 3 2"'
loop_
_atom_site_label
_atom_site_type_symbol
_atom_site_fract_x
_atom_site_fract_y
_atom_site_fract_z
Li1 Li 0.0000 0.0000 0.2455
Br1 Br 0.0000 0.0000 0.0000
Cl1 Cl 0.0000 0.0000 0.5000
```

## Properties
Formation energy without anion corrections in meV/atom: -1853
E_tot in eV/atom: -9.91
Size of the total moment in μB/cell: 0.00

# 8
Compound: Li3ZrRe
Source: the Alexandria database
Functional: SCAN
Structure: single point on PBEsol structure

Geometry as CIF:
```
data_Li3ZrRe
_chemical_formula_sum 'Li3 Zr1 Re1'
_cell_length_a 4.4101
_cell_length_b 4.4101
_cell_length_c 4.4101
_cell_angle_alpha 90.00
_cell_angle_beta 90.00
_cell_angle_gamma 90.00
_space_group_name_H-M_alt 'P m -3 m'
_space_group_IT_number 221
_space_group_name_Hall '-P 4 2 3'
loop_
_atom_site_label
_atom_site_type_symbol
_atom_site_fract_x
_atom_site_fract_y
_atom_site_fract_z
Li1 Li 0.0000 0.0000 0.5000
Zr1 Zr 0.0000 0.0000 0.0000
Re1 Re 0.5000 0.5000 0.5000
```

## Properties
E_form in eV/atom: 2.059
E_tot in eV/atom: -19.73
Size of the total moment in μB/cell: 0.44